# GGA-PBE Pm5Ge2I2, relaxed
# DOS at the Fermi energy (states/eV/f.u.): 8.16
# Total energy (eV/atom): -4.827
# Crystal system: orthorhombic
# ΔE_f (raw) (eV per formula unit): -7.4
# Total magnetic moment (μB/cell): 0.00
data_Pm5Ge2I2
_space_group_name_H-M_alt 'C m c e'
_space_group_IT_number 64
_space_group_name_Hall '-C 2ac 2'
_cell_length_a 15.8619
_cell_length_b 8.1059
_cell_length_c 8.0597
_cell_angle_alpha 90.00
_cell_angle_beta 90.00
_cell_angle_gamma 90.00
loop_
_atom_site_label
_atom_site_fract_x
_atom_site_fract_y
_atom_site_fract_z
Pm1 0.0000 0.0000 0.0000
Pm2 0.1219 0.1615 0.3383
Ge1 0.0000 0.1405 0.6403
I1 0.2036 0.0000 0.0000